Computed, not measured: a relaxed structure of VSI2O at the GGA+U level of DFT.

Offset from the most stable computed form (meV per atom): 0
ρ (g cm⁻³): 5.2
SG: P4/mmm, No. 123
Fermi-level density of states (states/eV/f.u.): 4.200

Cell and atoms, written as POSCAR:
```
VSI2O
1.0
5.539 0.000 0.000
0.000 5.539 0.000
0.000 0.000 3.662
I V O S
2 1 1 1
Cartesian
2.770 0.000 0.000
0.000 2.770 0.000
0.000 0.000 0.000
0.000 0.000 1.831
2.770 2.770 1.831
```